# ZrReSi

A geometry-optimized ZrReSi structure (PBE-GGA, the Alexandria database).

Cell: 5.182 5.207 7.256 Å, 90.00 90.00 90.00°
Element x y z (fractional)
Zr1 0.500 0.750 0.876
Re1 0.250 0.750 0.250
Si1 0.000 0.000 0.000
Re2 0.250 0.250 0.750
Si2 0.000 0.500 0.000
Re3 0.750 0.250 0.750
Zr2 0.000 0.750 0.624
Zr3 0.500 0.250 0.124
Zr4 0.000 0.250 0.376
Re4 0.750 0.750 0.250
Si3 0.500 0.500 0.500
Si4 0.500 0.000 0.500

total moment	0.00	μB per cell
SG	Imma, No. 74
ρ	10.36	g/cm3
calculated volume	195.8	Å³ per cell
final energy	-9.367	eV/atom



# SrCa8Ag6

A geometry-optimized SrCa8Ag6 structure (PBE-GGA, the Alexandria database).

Cell: 8.300 8.300 8.300 Å, 67.05 67.05 67.05°
Element x y z (fractional)
Ca1 0.775 0.453 0.109
Ca2 0.453 0.109 0.775
Ca3 0.665 0.665 0.665
Ag1 0.945 0.606 0.284
Ca4 0.335 0.335 0.335
Ca5 0.225 0.547 0.891
Ag2 0.284 0.945 0.606
Ag3 0.394 0.716 0.055
Ag4 0.606 0.284 0.945
Ca6 0.547 0.891 0.225
Ca7 0.109 0.775 0.453
Ag5 0.716 0.055 0.394
Ag6 0.055 0.394 0.716
Ca8 0.891 0.225 0.547
Sr1 0.000 0.000 0.000

total moment	0.00	μB per cell
SG	R-3, No. 148
ρ	3.77	g/cm3
calculated volume	465.5	Å³ per cell
energy relative to the elements	-212	meV/atom



# NiOs2Pb

A geometry-optimized NiOs2Pb structure (PBE-GGA, the Alexandria database).

Cell: 4.618 4.618 5.122 Å, 80.53 80.53 37.08°
Element x y z (fractional)
Os1 0.986 0.986 0.050
Pb1 0.750 0.750 0.750
Os2 0.514 0.514 0.450
Ni1 0.250 0.250 0.250

total moment	0.00	μB per cell
SG	C2/m, No. 12
ρ	16.54	g/cm3
calculated volume	64.9	Å³ per cell
energy relative to the elements	664	meV/atom



# CdCo2Tc2

A geometry-optimized CdCo2Tc2 structure (PBE-GGA, the Alexandria database).

Cell: 7.286 7.286 2.648 Å, 90.00 90.00 90.00°
Site moments in Bohr magnetons follow the coordinates.
Element x y z (fractional)
Tc1 0.329 0.171 0.500  0.02
Tc2 0.829 0.329 0.500  0.04
Tc3 0.171 0.671 0.500  0.04
Tc4 0.671 0.829 0.500  0.02
Cd1 0.500 0.500 0.000  0.00
Cd2 0.000 0.000 0.000  0.00
Co1 0.618 0.118 0.000  0.16
Co2 0.118 0.382 0.000  0.21
Co3 0.382 0.882 0.000  0.16
Co4 0.882 0.618 0.000  0.21

total moment	0.83	μB per cell
SG	P4/mbm, No. 127
ρ	10.07	g/cm3
calculated volume	140.6	Å³ per cell
energy relative to the elements	261	meV/atom



# Nd4TeSe2N2

A geometry-optimized Nd4TeSe2N2 structure (PBE-GGA, the Alexandria database).

Cell: 4.017 8.832 8.708 Å, 122.76 90.00 103.14°
Element x y z (fractional)
Se1 0.115 0.229 0.561
N1 0.674 0.347 0.967
Se2 0.885 0.771 0.439
N2 0.326 0.653 0.033
Nd1 0.767 0.535 0.853
Te1 0.000 0.000 0.000
Nd2 0.522 0.044 0.739
Nd3 0.478 0.956 0.261
Nd4 0.233 0.465 0.147

total moment	0.00	μB per cell
SG	C2/m, No. 12
ρ	5.91	g/cm3
calculated volume	250.1	Å³ per cell
final energy	-6.658	eV/atom



# BaVTeI2

A geometry-optimized BaVTeI2 structure (PBE-GGA, the Alexandria database).

Cell: 5.586 5.586 5.659 Å, 90.00 90.00 90.00°
Site moments in Bohr magnetons follow the coordinates.
Element x y z (fractional)
I1 0.000 0.500 0.000  -0.01
I2 0.500 0.000 0.000  -0.01
Ba1 0.500 0.500 0.500  0.02
V1 0.000 0.000 0.000  2.56
Te1 0.000 0.000 0.500  -0.04

total moment	3.00	μB per cell
SG	P4/mmm, No. 123
ρ	5.36	g/cm3
calculated volume	176.6	Å³ per cell
final energy	-4.264	eV/atom



# CaBe2Mo

A geometry-optimized CaBe2Mo structure (PBE-GGA, the Alexandria database).

Cell: 4.972 4.972 4.972 Å, 135.33 135.33 65.02°
Element x y z (fractional)
Be1 0.000 0.000 0.000
Mo1 0.750 0.250 0.500
Ca1 0.500 0.500 0.000
Be2 0.250 0.750 0.500

total moment	0.00	μB per cell
SG	I-4m2, No. 119
ρ	4.27	g/cm3
calculated volume	59.9	Å³ per cell
energy relative to the elements	732	meV/atom



# Hf2Be16Pd

A geometry-optimized Hf2Be16Pd structure (PBE-GGA, the Alexandria database).

Cell: 5.737 5.737 5.737 Å, 83.12 83.12 83.12°
Element x y z (fractional)
Be1 0.003 0.494 0.003
Pd1 0.905 0.905 0.905
Be2 0.709 0.290 0.999
Be3 0.161 0.654 0.654
Be4 0.290 0.999 0.709
Be5 0.709 0.999 0.290
Be6 0.290 0.709 0.999
Be7 0.343 0.343 0.841
Be8 0.999 0.709 0.290
Be9 0.999 0.290 0.709
Hf1 0.341 0.341 0.341
Be10 0.343 0.841 0.343
Be11 0.108 0.108 0.108
Be12 0.841 0.343 0.343
Be13 0.494 0.003 0.003
Be14 0.654 0.654 0.161
Be15 0.003 0.003 0.494
Hf2 0.655 0.655 0.655
Be16 0.654 0.161 0.654

total moment	0.00	μB per cell
SG	R3m, No. 160
ρ	5.45	g/cm3
calculated volume	185.0	Å³ per cell
energy relative to the elements	-273	meV/atom



# RbSc3Zn

A geometry-optimized RbSc3Zn structure (PBE-GGA, the Alexandria database).

Cell: 5.052 5.052 5.052 Å, 90.00 90.00 90.00°
Element x y z (fractional)
Sc1 0.000 0.000 0.500
Zn1 0.500 0.500 0.500
Sc2 0.000 0.500 0.000
Sc3 0.500 0.000 0.000
Rb1 0.000 0.000 0.000

total moment	0.00	μB per cell
SG	Pm-3m, No. 221
ρ	3.68	g/cm3
calculated volume	129.0	Å³ per cell
energy relative to the elements	1531	meV/atom



# CaB2IrRh

A geometry-optimized CaB2IrRh structure (PBE-GGA, the Alexandria database).

Cell: 3.899 3.899 5.655 Å, 110.17 110.17 90.00°
Element x y z (fractional)
B1 0.664 0.664 0.328
Ir1 0.750 0.250 0.500
B2 0.336 0.336 0.672
Ca1 0.000 0.000 0.000
Rh1 0.250 0.750 0.500

total moment	0.00	μB per cell
SG	I-4m2, No. 119
ρ	7.89	g/cm3
calculated volume	75.1	Å³ per cell
energy relative to the elements	-560	meV/atom



# MnAs2P

A geometry-optimized MnAs2P structure (PBE-GGA, the Alexandria database).

Cell: 4.505 4.546 4.495 Å, 70.92 70.24 109.17°
Site moments in Bohr magnetons follow the coordinates.
Element x y z (fractional)
As1 0.000 0.000 0.000  -0.07
As2 0.500 0.000 0.500  -0.07
P1 0.500 0.500 0.000  -0.07
Mn1 0.000 0.500 0.500  3.62

total moment	3.57	μB per cell
SG	C2/m, No. 12
ρ	5.50	g/cm3
calculated volume	71.2	Å³ per cell
energy relative to the elements	137	meV/atom



# Rb2TbU3O12

A geometry-optimized Rb2TbU3O12 structure (PBE-GGA, the Alexandria database).

Cell: 7.859 7.859 7.859 Å, 61.83 61.83 61.83°
Element x y z (fractional)
O1 0.310 0.310 0.929
U1 0.500 0.000 0.000
Tb1 0.000 0.000 0.000
O2 0.928 0.928 0.339
U2 0.000 0.500 0.000
O3 0.071 0.690 0.690
Rb1 0.623 0.623 0.623
O4 0.310 0.929 0.310
O5 0.690 0.690 0.071
Rb2 0.377 0.377 0.377
O6 0.690 0.071 0.690
O7 0.928 0.339 0.928
U3 0.000 0.000 0.500
O8 0.929 0.310 0.310
O9 0.072 0.072 0.661
O10 0.339 0.928 0.928
O11 0.072 0.661 0.072
O12 0.661 0.072 0.072

total moment	0.00	μB per cell
SG	R-3m, No. 166
ρ	5.74	g/cm3
calculated volume	357.3	Å³ per cell
final energy	-8.441	eV/atom



# LaYCd4

A geometry-optimized LaYCd4 structure (PBE-GGA, the Alexandria database).

Cell: 6.000 6.000 6.000 Å, 60.00 60.00 60.00°
Element x y z (fractional)
La1 0.250 0.250 0.250
Y1 0.000 0.000 0.000
Cd1 0.625 0.625 0.625
Cd2 0.125 0.625 0.625
Cd3 0.625 0.125 0.625
Cd4 0.625 0.625 0.125

total moment	0.00	μB per cell
SG	F-43m, No. 216
ρ	7.37	g/cm3
calculated volume	152.7	Å³ per cell
energy relative to the elements	-305	meV/atom



# RbCe2ZnO5

A geometry-optimized RbCe2ZnO5 structure (PBE-GGA, the Alexandria database).

Cell: 6.782 6.782 7.568 Å, 116.62 116.62 90.00°
Site moments in Bohr magnetons follow the coordinates.
Element x y z (fractional)
Rb1 0.250 0.250 0.500  0.00
Ce1 0.820 0.680 0.000  0.52
Ce2 0.680 0.180 0.000  0.52
Ce3 0.320 0.820 0.000  0.52
O1 0.516 0.738 0.754  -0.01
Zn1 0.750 0.250 0.500  0.00
O2 0.500 0.500 0.000  -0.02
O3 0.262 0.762 0.246  -0.01
O4 0.000 0.000 0.000  -0.02
O5 0.738 0.238 0.754  -0.01
O6 0.238 0.016 0.754  -0.01
O7 0.984 0.484 0.246  -0.01
O8 0.484 0.262 0.246  -0.01
O9 0.016 0.516 0.754  -0.01
O10 0.762 0.984 0.246  -0.01
Ce4 0.180 0.320 0.000  0.52
Zn2 0.250 0.750 0.500  0.00
Rb2 0.750 0.750 0.500  0.00

total moment	2.06	μB per cell
SG	I4/mcm, No. 140
ρ	6.30	g/cm3
calculated volume	269.3	Å³ per cell
final energy	-6.887	eV/atom



# Ba2CePdO5

A geometry-optimized Ba2CePdO5 structure (PBE-GGA, the Alexandria database).

Cell: 3.764 8.131 10.600 Å, 90.00 90.00 103.39°
Element x y z (fractional)
Ce1 0.206 0.412 0.001
O1 0.495 0.989 0.296
Ba1 0.885 0.771 0.193
O2 0.712 0.424 0.867
Ba2 0.115 0.229 0.693
O3 0.311 0.622 0.631
O4 0.339 0.677 0.016
O5 0.505 0.011 0.796
O6 0.048 0.096 0.022
O7 0.661 0.323 0.516
O8 0.288 0.576 0.367
O9 0.952 0.904 0.522
Pd1 0.454 0.909 0.480
Ba3 0.116 0.232 0.319
O10 0.689 0.378 0.131
Ba4 0.884 0.768 0.819
Ce2 0.794 0.588 0.501
Pd2 0.546 0.091 0.980

total moment	0.00	μB per cell
SG	Cmc2_1, No. 36
ρ	6.33	g/cm3
calculated volume	315.6	Å³ per cell
final energy	-6.697	eV/atom



# KTe2Au

A geometry-optimized KTe2Au structure (PBE-GGA, the Alexandria database).

Cell: 3.850 3.850 9.263 Å, 90.00 90.00 90.00°
Element x y z (fractional)
K1 0.500 0.500 0.773
Te1 0.000 0.000 0.010
Te2 0.500 0.500 0.399
Au1 0.000 0.000 0.317

total moment	0.00	μB per cell
SG	P4mm, No. 99
ρ	5.94	g/cm3
calculated volume	137.3	Å³ per cell
final energy	-2.872	eV/atom



# LuAlCo

A geometry-optimized LuAlCo structure (PBE-GGA, the Alexandria database).

Cell: 5.257 5.257 8.335 Å, 90.00 90.00 119.28°
Site moments in Bohr magnetons follow the coordinates.
Element x y z (fractional)
Lu1 0.334 0.666 0.798  0.02
Lu2 0.671 0.329 0.325  0.06
Lu3 0.334 0.666 0.202  0.02
Co1 0.176 0.361 0.500  -0.34
Al1 0.834 0.660 0.000  0.00
Co2 0.639 0.824 0.500  -0.34
Co3 0.175 0.825 0.500  -0.54
Lu4 0.671 0.329 0.675  0.06
Al2 0.340 0.166 0.000  0.00
Co4 0.834 0.166 0.000  -0.04
Al3 0.996 0.004 0.273  0.00
Al4 0.996 0.004 0.727  0.00

total moment	1.07	μB per cell
SG	Amm2, No. 38
ρ	8.63	g/cm3
calculated volume	200.9	Å³ per cell
energy relative to the elements	-431	meV/atom



# Rb2PmHgBr6

A geometry-optimized Rb2PmHgBr6 structure (PBE-GGA, the Alexandria database).

Cell: 8.547 8.260 11.847 Å, 90.00 90.00 90.00°
Element x y z (fractional)
Rb1 0.000 0.215 0.710
Hg1 0.000 0.752 0.000
Hg2 0.500 0.248 0.500
Br1 0.500 0.236 0.759
Rb2 0.500 0.785 0.790
Br2 0.500 0.236 0.241
Br3 0.000 0.764 0.741
Br4 0.739 0.017 0.000
Pm1 0.500 0.262 0.000
Rb3 0.000 0.215 0.290
Br5 0.239 0.983 0.500
Br6 0.261 0.017 0.000
Br7 0.277 0.521 0.000
Br8 0.723 0.521 0.000
Br9 0.000 0.764 0.259
Rb4 0.500 0.785 0.210
Br10 0.223 0.479 0.500
Pm2 0.000 0.738 0.500
Br11 0.761 0.983 0.500
Br12 0.777 0.479 0.500

total moment	0.00	μB per cell
SG	Pmmn, No. 59
ρ	3.95	g/cm3
calculated volume	836.4	Å³ per cell
final energy	-3.142	eV/atom



# ZrSc2NbH

A geometry-optimized ZrSc2NbH structure (PBE-GGA, the Alexandria database).

Cell: 4.369 4.369 4.595 Å, 90.00 90.00 90.00°
Element x y z (fractional)
Nb1 0.000 0.000 0.500
Sc1 0.500 0.000 0.000
Sc2 0.000 0.500 0.000
Zr1 0.500 0.500 0.500
H1 0.000 0.000 0.000

total moment	0.00	μB per cell
SG	P4/mmm, No. 123
ρ	5.21	g/cm3
calculated volume	87.7	Å³ per cell
final energy	-6.980	eV/atom



# YLuAu

A geometry-optimized YLuAu structure (PBE-GGA, the Alexandria database).

Cell: 3.558 3.558 6.612 Å, 105.61 105.61 90.00°
Site moments in Bohr magnetons follow the coordinates.
Element x y z (fractional)
Y1 0.018 0.018 0.036  -0.27
Au1 0.674 0.674 0.348  -0.01
Lu1 0.308 0.308 0.616  -0.23

total moment	0.90	μB per cell
SG	I4mm, No. 107
ρ	9.89	g/cm3
calculated volume	77.4	Å³ per cell
energy relative to the elements	-555	meV/atom



# Mn2RuBr8

A geometry-optimized Mn2RuBr8 structure (PBE-GGA, the Alexandria database).

Cell: 6.435 8.347 8.347 Å, 55.68 90.33 90.33°
Site moments in Bohr magnetons follow the coordinates.
Element x y z (fractional)
Br1 0.760 0.166 0.709  0.01
Br2 0.240 0.291 0.834  0.01
Br3 0.648 0.690 0.690  0.06
Mn1 0.423 0.153 0.153  4.12
Br4 0.352 0.310 0.310  0.06
Br5 0.812 0.148 0.148  -0.03
Br6 0.760 0.709 0.166  0.01
Mn2 0.577 0.847 0.847  4.12
Br7 0.188 0.852 0.852  -0.03
Br8 0.240 0.834 0.291  0.01
Ru1 0.000 0.000 0.000  -0.99

total moment	8.00	μB per cell
SG	C2/m, No. 12
ρ	3.81	g/cm3
calculated volume	370.3	Å³ per cell
final energy	-4.215	eV/atom



# Tm4Sb2PbSe

A geometry-optimized Tm4Sb2PbSe structure (PBE-GGA, the Alexandria database).

Cell: 4.267 7.430 7.442 Å, 70.75 90.00 90.00°
Element x y z (fractional)
Pb1 0.000 0.500 0.500
Se1 0.500 0.500 0.000
Tm1 0.000 0.254 0.248
Tm2 0.500 0.748 0.246
Tm3 0.500 0.252 0.754
Sb1 0.500 0.000 0.500
Tm4 0.000 0.746 0.752
Sb2 0.000 0.000 0.000

total moment	0.00	μB per cell
SG	P2/m, No. 10
ρ	8.99	g/cm3
calculated volume	222.7	Å³ per cell
final energy	-5.214	eV/atom



# NaInPb3

A geometry-optimized NaInPb3 structure (PBE-GGA, the Alexandria database).

Cell: 5.571 5.571 5.571 Å, 90.00 90.00 90.00°
Element x y z (fractional)
Pb1 0.500 0.000 0.000
Na1 0.000 0.000 0.000
In1 0.500 0.500 0.500
Pb2 0.000 0.500 0.000
Pb3 0.000 0.000 0.500

total moment	0.00	μB per cell
SG	Pm-3m, No. 221
ρ	7.29	g/cm3
calculated volume	172.9	Å³ per cell
energy relative to the elements	441	meV/atom